Material: PuGePt3
Method: DFT, PBE-GGA
State: relaxed Values from VASP.

Geometry as Quantum ESPRESSO input:
```
&SYSTEM
  ibrav = 0, nat = 10, ntyp = 3
/
ATOMIC_SPECIES
Pu 244.00 Pu.upf
Ge 72.64 Ge.upf
Pt 195.08 Pt.upf
CELL_PARAMETERS angstrom
5.4281 0.0000 0.0000
0.0000 5.6116 0.0000
-0.4874 0.0000 6.0385
ATOMIC_POSITIONS crystal
Pu 0.1836 0.2500 0.1580
Pu 0.8164 0.7500 0.8420
Ge 0.0813 0.7500 0.3731
Ge 0.9187 0.2500 0.6269
Pt 0.3147 0.0027 0.6603
Pt 0.3147 0.4973 0.6603
Pt 0.3336 0.7500 0.0555
Pt 0.6664 0.2500 0.9445
Pt 0.6853 0.5027 0.3397
Pt 0.6853 0.9973 0.3397
```

ΔE to the lowest computed polymorph   0.000 eV per atom
Calculated total energy   -81.1 eV per cell
Symmetry   No. 11
Energy relative to the elements   -695 meV per atom